Here is an optimized crystal structure of KCaSb2 from the Alexandria database. Energies are from PBEsol.

extended XYZ file:
```
4
Lattice="3.4698 0.0000 0.0000 0.0000 3.4698 0.0000 0.0000 0.0000 9.6274" Properties=species:S:1:pos:R:3 pbc="T T T"
K 0.0000 0.0000 0.0000
Ca 0.0000 0.0000 4.8137
Sb 1.7349 1.7349 2.6113
Sb 1.7349 1.7349 7.0161
```

The calculation puts the density of states at the Fermi level at 1.5 states/eV/cell. Its energy above the most stable polymorph in this dataset is 9 meV per atom. Its space group is P4/mmm. As for the final energy: -14.86 eV per cell. The calculation puts the uncorrected formation energy at -0.620 eV per atom.